Compound: LiHfHg2
Source: Alexandria via LeMat-Bulk
Functional: PBE
Structure: optimized geometry

Results
formation energy	159.7	meV/atom
DFT total energy	-2.9580	eV/atom
volume	22.33	Å³/atom
symmetry	No. 166

Cell and atoms, written as extended XYZ:
```
12
Lattice="3.139 0.000 0.000 -1.570 2.719 0.000 0.000 0.000 31.403" Properties=species:S:1:pos:R:3 pbc="T T T"
Li 0.000 0.000 0.000
Li 0.000 1.812 20.935
Li 1.570 0.906 10.468
Hf 0.000 0.000 15.701
Hf 0.000 1.812 5.234
Hf 1.570 0.906 26.169
Hg 0.000 0.000 12.709
Hg 0.000 0.000 18.694
Hg 0.000 1.812 2.241
Hg 0.000 1.812 8.226
Hg 1.570 0.906 23.177
Hg 1.570 0.906 29.161
```

=====

Compound: PdRhO2
Source: Alexandria via LeMat-Bulk
Functional: PBE
Structure: optimized geometry

Results
ΔE_f (raw)	-0.28	eV per atom
DFT total energy	-5.8905	eV/atom
volume	13.49	Å³/atom
symmetry	No. 62

Cell and atoms, written as extended XYZ:
```
16
Lattice="4.849 0.000 0.000 0.000 3.049 0.000 0.000 0.000 14.602" Properties=species:S:1:pos:R:3 pbc="T T T"
Pd 0.126 0.762 1.999
Pd 2.298 2.287 9.300
Pd 2.551 0.762 5.302
Pd 4.723 2.287 12.603
Rh 0.159 2.287 5.482
Rh 2.266 0.762 12.783
Rh 2.584 2.287 1.819
Rh 4.690 0.762 9.120
O 0.532 2.287 10.242
O 0.939 0.762 6.507
O 1.486 2.287 13.808
O 1.893 0.762 2.941
O 2.957 2.287 11.661
O 3.363 0.762 0.794
O 3.911 2.287 8.095
O 4.318 0.762 4.360
```

=====

Compound: CaPm2NdTe4
Source: Alexandria via LeMat-Bulk
Functional: PBE
Structure: optimized geometry

Results
ΔE_f (raw)	-1.46	eV per atom
DFT total energy	-5.0638	eV/atom
volume	31.82	Å³/atom
symmetry	No. 10

Cell and atoms, written as extended XYZ:
```
8
Lattice="7.772 0.000 0.000 0.000 4.446 0.000 -2.532 0.000 7.367" Properties=species:S:1:pos:R:3 pbc="T T T"
Ca 0.000 0.000 0.000
Pm 2.620 0.000 3.684
Pm 3.886 2.223 0.000
Nd -1.266 2.223 3.684
Te 1.304 2.223 1.815
Te 0.033 0.000 5.552
Te 5.207 0.000 1.815
Te 3.936 2.223 5.552
```

=====

Compound: ZrHg2Se
Source: Alexandria via LeMat-Bulk
Functional: PBE
Structure: optimized geometry

Results
ΔE_f (raw)	0.03	eV per atom
DFT total energy	-3.1241	eV/atom
volume	23.02	Å³/atom
symmetry	No. 166

Cell and atoms, written as extended XYZ:
```
12
Lattice="3.447 0.000 0.000 -1.724 2.985 0.000 0.000 0.000 26.842" Properties=species:S:1:pos:R:3 pbc="T T T"
Zr 0.000 0.000 0.000
Zr 0.000 1.990 17.895
Zr 1.724 0.995 8.947
Hg 0.000 0.000 6.618
Hg 0.000 0.000 20.224
Hg 0.000 1.990 11.276
Hg 0.000 1.990 24.513
Hg 1.724 0.995 2.329
Hg 1.724 0.995 15.565
Se 0.000 0.000 13.421
Se 0.000 1.990 4.474
Se 1.724 0.995 22.368
```

=====

Compound: Zr2ReSnF
Source: Alexandria via LeMat-Bulk
Functional: PBE
Structure: optimized geometry

Results
ΔE_f (raw)	1.37	eV per atom
DFT total energy	-5.7146	eV/atom
volume	28.33	Å³/atom
symmetry	No. 123

Cell and atoms, written as extended XYZ:
```
5
Lattice="5.414 0.000 0.000 0.000 5.414 0.000 0.000 0.000 4.833" Properties=species:S:1:pos:R:3 pbc="T T T"
Zr 0.000 2.707 0.000
Zr 2.707 0.000 0.000
Re 0.000 0.000 2.416
Sn 0.000 0.000 0.000
F 2.707 2.707 2.416
```

=====

Compound: TmThC
Source: Alexandria via LeMat-Bulk
Functional: PBE
Structure: optimized geometry

Results
formation energy	-263.1	meV/atom
DFT total energy	-7.3015	eV/atom
energy above the most stable polymorph in this dataset	0.0	kJ/mol of atoms
volume	22.90	Å³/atom
symmetry	No. 12

Cell and atoms, written as extended XYZ:
```
12
Lattice="12.460 0.000 0.000 0.000 3.579 0.000 -1.119 0.000 6.162" Properties=species:S:1:pos:R:3 pbc="T T T"
Tm 0.942 0.000 2.305
Tm 4.169 1.790 3.856
Tm 7.172 1.790 2.305
Tm 10.399 0.000 3.856
Th 0.494 1.790 5.367
Th 4.618 0.000 0.795
Th 6.723 0.000 5.367
Th 10.847 1.790 0.795
C 0.000 0.000 0.000
C -0.559 1.790 3.081
C 5.670 0.000 3.081
C 6.230 1.790 0.000
```

=====

Compound: Hf2Ga3Ni4
Source: Alexandria via LeMat-Bulk
Functional: PBE
Structure: optimized geometry

Results
formation energy	-496.5	meV/atom
DFT total energy	-6.2868	eV/atom
volume	14.43	Å³/atom
symmetry	No. 64

Cell and atoms, written as extended XYZ:
```
18
Lattice="2.577 -7.256 0.000 2.577 7.256 0.000 0.000 0.000 6.945" Properties=species:S:1:pos:R:3 pbc="T T T"
Hf 2.577 5.788 6.294
Hf 2.577 1.467 2.821
Hf 2.577 -1.467 4.124
Hf 2.577 -5.788 0.652
Ga 0.000 0.000 3.473
Ga 1.288 3.419 5.209
Ga 1.288 -3.419 1.736
Ga 2.577 0.000 0.000
Ga 3.865 3.419 5.209
Ga 3.865 -3.419 1.736
Ni 2.577 4.792 3.599
Ni 1.288 0.967 5.209
Ni 1.288 -0.967 1.736
Ni 2.577 2.464 0.126
Ni 2.577 -2.464 6.819
Ni 3.865 0.967 5.209
Ni 3.865 -0.967 1.736
Ni 2.577 -4.792 3.347
```

=====

Compound: MnHg2Cl
Source: Alexandria via LeMat-Bulk
Functional: PBE
Structure: optimized geometry

Results
ΔE_f (raw)	0.09	eV per atom
DFT total energy	-2.8176	eV/atom
energy above the most stable polymorph in this dataset	25.2	kJ/mol of atoms
volume	21.90	Å³/atom
symmetry	No. 123

Cell and atoms, written as extended XYZ:
```
4
Lattice="3.375 0.000 0.000 0.000 3.375 0.000 0.000 0.000 7.691" Properties=species:S:1:pos:R:3 pbc="T T T"
Mn 0.000 0.000 0.000
Hg 1.687 1.687 1.762
Hg 1.687 1.687 5.929
Cl 0.000 0.000 3.846
```

=====

Compound: CaAcGa2Pd2
Source: Alexandria via LeMat-Bulk
Functional: PBE
Structure: optimized geometry

Results
formation energy	-746.4	meV/atom
DFT total energy	-4.5046	eV/atom
volume	23.02	Å³/atom
symmetry	No. 164

Cell and atoms, written as extended XYZ:
```
6
Lattice="4.520 0.000 0.000 -2.260 3.914 0.000 0.000 0.000 7.809" Properties=species:S:1:pos:R:3 pbc="T T T"
Ca 0.000 0.000 0.000
Ac 0.000 0.000 3.905
Ga 0.000 2.609 6.095
Ga 2.260 1.305 1.715
Pd 0.000 2.609 1.804
Pd 2.260 1.305 6.006
```

=====

Compound: BH2Rh4
Source: Alexandria via LeMat-Bulk
Functional: PBE
Structure: optimized geometry

Results
DFT total energy	-6.1686	eV/atom
energy above the most stable polymorph in this dataset	1.3	kJ/mol of atoms
volume	10.21	Å³/atom
symmetry	No. 12

Cell and atoms, written as extended XYZ:
```
14
Lattice="10.558 0.000 0.000 0.000 2.851 0.000 -1.708 0.000 4.751" Properties=species:S:1:pos:R:3 pbc="T T T"
B 0.000 0.000 0.000
B 5.279 1.425 0.000
H 1.171 1.425 3.062
H 2.400 0.000 1.689
H 6.451 0.000 3.062
H 7.679 1.425 1.689
Rh 0.602 0.000 1.955
Rh -0.201 1.425 4.276
Rh 3.772 0.000 0.475
Rh 2.970 1.425 2.797
Rh 5.881 1.425 1.955
Rh 5.078 0.000 4.276
Rh 9.051 1.425 0.475
Rh 8.249 0.000 2.797
```

=====

Compound: K3Cd3Sn8
Source: Alexandria via LeMat-Bulk
Functional: PBE
Structure: optimized geometry

Results
formation energy	-135.9	meV/atom
DFT total energy	-2.8545	eV/atom
volume	30.14	Å³/atom
symmetry	No. 71

Cell and atoms, written as extended XYZ:
```
14
Lattice="-2.474 6.089 7.003 2.474 -6.089 7.003 2.474 6.089 -7.003" Properties=species:S:1:pos:R:3 pbc="T T T"
K 0.000 0.000 0.000
K 0.000 0.000 3.807
K 0.000 0.000 10.198
Cd 2.474 4.461 0.000
Cd 0.000 6.089 0.000
Cd 0.000 1.628 7.003
Sn 2.474 1.887 -1.732
Sn 2.474 -2.473 4.854
Sn 2.474 1.887 1.732
Sn 0.000 3.616 2.149
Sn 2.474 2.473 4.854
Sn 0.000 4.202 5.270
Sn 0.000 8.563 2.149
Sn 0.000 4.202 8.735
```

=====

Compound: MgRe
Source: Alexandria via LeMat-Bulk
Functional: PBE
Structure: optimized geometry

Results
formation energy	266.4	meV/atom
DFT total energy	-6.7550	eV/atom
energy above the most stable polymorph in this dataset	19.3	kJ/mol of atoms
volume	18.98	Å³/atom
symmetry	No. 166

Cell and atoms, written as extended XYZ:
```
12
Lattice="4.277 0.000 0.000 -2.139 3.704 0.000 0.000 0.000 14.379" Properties=species:S:1:pos:R:3 pbc="T T T"
Mg 0.000 0.000 1.626
Mg 0.000 0.000 12.753
Mg 0.000 2.469 7.960
Mg 0.000 2.469 11.212
Mg 2.139 1.235 3.167
Mg 2.139 1.235 6.419
Re 0.000 0.000 4.649
Re 0.000 0.000 9.730
Re 0.000 2.469 4.937
Re 0.000 2.469 14.235
Re 2.139 1.235 0.144
Re 2.139 1.235 9.442
```

=====

Compound: AgTeBr2
Source: Alexandria via LeMat-Bulk
Functional: PBE
Structure: optimized geometry

Results
ΔE_f (raw)	0.09	eV per atom
DFT total energy	-2.2488	eV/atom
energy above the most stable polymorph in this dataset	24.3	kJ/mol of atoms
volume	26.59	Å³/atom
symmetry	No. 166

Cell and atoms, written as extended XYZ:
```
12
Lattice="3.738 0.000 0.000 -1.869 3.237 0.000 0.000 0.000 26.379" Properties=species:S:1:pos:R:3 pbc="T T T"
Ag 0.000 0.000 0.000
Ag 0.000 2.158 17.586
Ag 1.869 1.079 8.793
Te 0.000 0.000 13.190
Te 0.000 2.158 4.397
Te 1.869 1.079 21.983
Br 0.000 0.000 6.982
Br 0.000 0.000 19.397
Br 0.000 2.158 10.604
Br 0.000 2.158 24.568
Br 1.869 1.079 1.811
Br 1.869 1.079 15.775
```

=====

Compound: Sr2ZnCdRh
Source: Alexandria via LeMat-Bulk
Functional: PBE
Structure: optimized geometry

Results
formation energy	-184.6	meV/atom
DFT total energy	-2.7654	eV/atom
volume	32.24	Å³/atom
symmetry	No. 123

Cell and atoms, written as extended XYZ:
```
5
Lattice="5.775 0.000 0.000 0.000 5.775 0.000 0.000 0.000 4.834" Properties=species:S:1:pos:R:3 pbc="T T T"
Sr 0.000 2.888 0.000
Sr 2.888 0.000 0.000
Zn 0.000 0.000 2.417
Cd 2.888 2.888 2.417
Rh 0.000 0.000 0.000
```

=====

Compound: Pm2Pr4Mg
Source: Alexandria via LeMat-Bulk
Functional: PBE
Structure: optimized geometry

Results
formation energy	492.3	meV/atom
DFT total energy	-3.8240	eV/atom
volume	38.00	Å³/atom
symmetry	No. 111

Cell and atoms, written as extended XYZ:
```
7
Lattice="4.801 0.000 0.000 0.000 4.801 0.000 0.000 0.000 11.539" Properties=species:S:1:pos:R:3 pbc="T T T"
Pm 0.000 2.401 0.000
Pm 2.401 0.000 0.000
Pr 1.150 1.150 8.480
Pr 1.150 3.651 3.059
Pr 3.651 1.150 3.059
Pr 3.651 3.651 8.480
Mg 2.401 2.401 5.769
```

=====

Compound: SiSbPd4
Source: Alexandria via LeMat-Bulk
Functional: PBE
Structure: optimized geometry

Results
ΔE_f (raw)	-0.56	eV per atom
DFT total energy	-5.6172	eV/atom
energy above the most stable polymorph in this dataset	0.0	kJ/mol of atoms
volume	16.29	Å³/atom
symmetry	No. 62

Cell and atoms, written as extended XYZ:
```
24
Lattice="6.826 0.000 0.000 0.000 3.526 0.000 0.000 0.000 16.247" Properties=species:S:1:pos:R:3 pbc="T T T"
Si 1.695 0.881 0.896
Si 1.718 2.644 9.020
Si 5.109 0.881 7.227
Si 5.131 2.644 15.351
Sb 1.700 2.644 5.035
Sb 1.713 0.881 13.159
Sb 5.113 2.644 3.088
Sb 5.126 0.881 11.212
Pd 0.020 2.644 7.059
Pd 0.446 2.644 11.444
Pd 0.831 2.644 2.408
Pd 0.908 2.644 15.546
Pd 2.505 0.881 7.422
Pd 2.582 0.881 10.531
Pd 2.967 0.881 3.321
Pd 3.393 0.881 15.183
Pd 3.433 2.644 1.064
Pd 3.859 2.644 12.926
Pd 4.244 2.644 5.716
Pd 4.321 2.644 8.825
Pd 5.918 0.881 0.701
Pd 5.995 0.881 13.839
Pd 6.380 0.881 4.803
Pd 6.807 0.881 9.188
```

=====

Compound: SrIrO6
Source: Alexandria via LeMat-Bulk
Functional: PBE
Structure: optimized geometry

Results
ΔE_f (raw)	-0.75	eV per atom
DFT total energy	-5.7906	eV/atom
volume	13.13	Å³/atom
symmetry	No. 166

Cell and atoms, written as extended XYZ:
```
8
Lattice="3.551 2.050 2.403 -3.551 2.050 2.403 0.000 -4.101 2.403" Properties=species:S:1:pos:R:3 pbc="T T T"
Sr 0.000 0.000 0.000
Ir 0.000 0.000 3.605
O 0.000 -1.508 2.508
O -1.306 0.754 2.508
O -1.306 -0.754 4.702
O 1.306 0.754 2.508
O 1.306 -0.754 4.702
O 0.000 1.508 4.702
```

=====

Compound: ZrTlIr2
Source: Alexandria via LeMat-Bulk
Functional: PBE
Structure: optimized geometry

Results
formation energy	-195.9	meV/atom
DFT total energy	-7.3550	eV/atom
volume	17.85	Å³/atom
symmetry	No. 119

Cell and atoms, written as extended XYZ:
```
8
Lattice="3.981 0.000 0.000 0.000 3.981 0.000 0.000 0.000 9.011" Properties=species:S:1:pos:R:3 pbc="T T T"
Zr 0.000 0.000 0.000
Zr 1.990 1.990 4.506
Tl 0.000 1.990 6.759
Tl 1.990 0.000 2.253
Ir 0.000 0.000 4.506
Ir 0.000 1.990 2.253
Ir 1.990 0.000 6.759
Ir 1.990 1.990 0.000
```

=====

Compound: K5AgHg
Source: Alexandria via LeMat-Bulk
Functional: PBE
Structure: optimized geometry

Results
formation energy	-24.8	meV/atom
DFT total energy	-1.2591	eV/atom
volume	50.45	Å³/atom
symmetry	No. 15

Cell and atoms, written as extended XYZ:
```
14
Lattice="5.404 -5.542 0.000 5.404 5.542 0.000 -0.959 0.000 11.791" Properties=species:S:1:pos:R:3 pbc="T T T"
K 3.448 3.132 4.036
K 4.685 3.857 8.844
K 2.461 0.847 11.688
K 6.880 3.132 1.860
K 2.940 -0.847 5.793
K 6.909 0.847 5.999
K 2.969 -3.132 9.932
K 7.388 -0.847 0.103
K 5.164 -3.857 2.948
K 6.400 -3.132 7.755
Ag 0.000 0.000 0.000
Ag -0.479 0.000 5.896
Hg 4.685 0.141 8.844
Hg 5.164 -0.141 2.948
```

=====

Compound: La4GeIr2
Source: Alexandria via LeMat-Bulk
Functional: PBE
Structure: optimized geometry

Results
formation energy	-688.6	meV/atom
DFT total energy	-6.6956	eV/atom
volume	27.35	Å³/atom
symmetry	No. 122

Cell and atoms, written as extended XYZ:
```
14
Lattice="-4.627 4.627 4.472 4.627 -4.627 4.472 4.627 4.627 -4.472" Properties=species:S:1:pos:R:3 pbc="T T T"
La 2.920 -0.544 0.640
La 6.333 0.544 0.640
La 4.083 2.920 -1.596
La 5.170 -1.706 3.832
La 0.544 1.706 2.876
La 4.083 1.706 3.832
La 1.706 -0.544 6.068
La 2.920 5.170 1.596
Ge 0.000 0.000 0.000
Ge 0.000 4.627 2.236
Ir 2.313 -1.090 3.354
Ir 3.537 2.313 1.118
Ir 2.313 5.717 -1.118
Ir 1.090 2.313 5.590
```